A relaxed structure of Ba5H2Au. Source: Alexandria via LeMat-Bulk, functional PBE.

Cell and atoms, written as POSCAR:
```
Ba5H2Au
1.0
3.1397 -6.5496 0.0000
3.1397 6.5496 0.0000
0.0000 0.0000 15.9327
Ba H Au
10 4 2
Cartesian
3.1397 6.1625 9.8681 Ba
3.1397 6.1625 14.0309 Ba
3.1397 2.6840 3.9832 Ba
3.1397 2.1883 8.8523 Ba
3.1397 2.1883 15.0467 Ba
3.1397 -2.1883 0.8859 Ba
3.1397 -2.1883 7.0804 Ba
3.1397 -2.6840 11.9495 Ba
3.1397 -6.1625 1.9018 Ba
3.1397 -6.1625 6.0646 Ba
3.1397 4.6340 0.3476 H
3.1397 4.6340 7.6187 H
3.1397 -4.6340 8.3139 H
3.1397 -4.6340 15.5851 H
3.1397 3.5039 11.9495 Au
3.1397 -3.5039 3.9832 Au
```

Calculated total energy in eV per cell: -43.29
Symmetry: No. 63